The following is a PBE calculation of crystalline Sm6TeC3S2 at its relaxed geometry, from Alexandria via LeMat-Bulk.

a = 8.982 Å, b = 8.982 Å, c = 8.096 Å
α = 106.42°, β = 106.42°, γ = 24.88°
Sites, in units of the cell vectors:
1 Sm 0.010 0.010 0.216
2 Sm 0.319 0.319 0.434
3 Sm 0.339 0.339 0.898
4 Sm 0.661 0.661 0.102
5 Sm 0.681 0.681 0.566
6 Sm 0.990 0.990 0.784
7 Te 0.500 0.500 0.500
8 C 0.169 0.169 0.329
9 C 0.500 0.500 0.000
10 C 0.831 0.831 0.671
11 S 0.167 0.167 0.833
12 S 0.833 0.833 0.167

Calculated values
* total magnetic moment: 0.0 μB per formula unit
* energy: -6.6208 eV/atom
* V: 263.0 Å³/f.u.
* formation energy (no corrections): -12.1 eV/f.u.

The following is a PBE calculation of crystalline SmThCS at its relaxed geometry, from Alexandria via LeMat-Bulk.

a = 3.849 Å, b = 3.849 Å, c = 19.784 Å
α = 90.00°, β = 90.00°, γ = 120.00°
Sites, in units of the cell vectors:
1 Sm 0.000 0.000 0.000
2 Sm 0.333 0.667 0.667
3 Sm 0.667 0.333 0.333
4 Th 0.000 0.000 0.524
5 Th 0.333 0.667 0.191
6 Th 0.667 0.333 0.857
7 C 0.000 0.000 0.257
8 C 0.333 0.667 0.924
9 C 0.667 0.333 0.590
10 S 0.000 0.000 0.760
11 S 0.333 0.667 0.427
12 S 0.667 0.333 0.093

Calculated values
* total magnetic moment: 0.0 μB per formula unit
* energy: -7.5758 eV/atom
* V: 84.6 Å³/f.u.
* formation energy (no corrections): -4.8 eV/f.u.

The following is a PBE calculation of crystalline Sm8Tl4CS3 at its relaxed geometry, from Alexandria via LeMat-Bulk.

a = 7.833 Å, b = 7.833 Å, c = 9.198 Å
α = 115.08°, β = 115.08°, γ = 60.11°
Sites, in units of the cell vectors:
1 Sm 0.216 0.756 0.690
2 Sm 0.217 0.217 0.690
3 Sm 0.244 0.784 0.310
4 Sm 0.265 0.265 0.295
5 Sm 0.735 0.735 0.705
6 Sm 0.756 0.216 0.690
7 Sm 0.783 0.783 0.310
8 Sm 0.784 0.244 0.310
9 Tl 0.000 0.000 0.000
10 Tl 0.000 0.500 0.000
11 Tl 0.500 0.000 0.000
12 Tl 0.500 0.500 0.000
13 C 0.000 0.000 0.500
14 S 0.000 0.500 0.500
15 S 0.500 0.000 0.500
16 S 0.500 0.500 0.500

Calculated values
* total magnetic moment: 0.0 μB per formula unit
* energy: -5.2809 eV/atom
* V: 426.6 Å³/f.u.
* formation energy (no corrections): -15.7 eV/f.u.